1.
DFT (PBE) results for a relaxed structure of Dy7ErIn3.

It has space group C2/m (No. 12), with a = 11.4101 Å, b = 11.7181 Å, c = 5.7671 Å, α = 90.00°, β = 120.11° and γ = 90.00°. The asymmetric unit holds Dy at (0.0000, 0.0000, 0.0000), Dy at (0.1714, 0.5000, 0.1701), Dy at (0.1797, 0.2883, 0.6804), Er at (0.0000, 0.0000, 0.5000), In at (0.0000, 0.2648, 0.0000) and In at (0.0000, 0.5000, 0.5000).

The density of states at the Fermi level comes out at 13.593 states/eV/f.u. The magnetic moment is 0.0006 μB/atom. The formation enthalpy at 0 K comes out at -25 meV/atom.



2.
DFT (PBE) results for a relaxed structure of DyEr2In9.

It has space group P4/mmm (No. 123), with a = 4.6263 Å, b = 4.6263 Å, c = 13.8764 Å, α = 90.00°, β = 90.00° and γ = 90.00°. The asymmetric unit holds Dy at (0.0000, 0.0000, 0.0000), Er at (0.0000, 0.0000, 0.3336), In at (0.0000, 0.5000, 0.1675), In at (0.0000, 0.5000, 0.5000), In at (0.5000, 0.5000, 0.0000) and In at (0.5000, 0.5000, 0.3334).

The density of states at the Fermi level comes out at 4.516 states/eV/f.u. The magnetic moment is 0.0000 μB/atom. The formation enthalpy at 0 K comes out at -394 meV/atom.



3.
DFT (PBE) results for a relaxed structure of Dy5ErIn6.

It has space group Cmmm (No. 65), with a = 5.3146 Å, b = 15.9517 Å, c = 7.4820 Å, α = 90.00°, β = 90.00° and γ = 90.00°. The asymmetric unit holds Dy at (0.0000, 0.0000, 0.0000), Dy at (0.0000, 0.3328, 0.0000), Dy at (0.0000, 0.3336, 0.5000), Er at (0.0000, 0.0000, 0.5000), In at (0.0000, 0.1661, 0.2511) and In at (0.0000, 0.5000, 0.2508).

The density of states at the Fermi level comes out at 5.372 states/eV/f.u. The magnetic moment is 0.0000 μB/atom. The formation enthalpy at 0 K comes out at -463 meV/atom.



4.
DFT (PBE) results for a relaxed structure of Dy3Er4In4.

It has space group Immm (No. 71), with a = 4.6517 Å, b = 8.5564 Å, c = 16.5046 Å, α = 90.00°, β = 90.00° and γ = 90.00°. The asymmetric unit holds Dy at (0.0000, 0.0000, 0.0000), Dy at (0.0000, 0.5000, 0.1183), Er at (0.0000, 0.3009, 0.3305), In at (0.0000, 0.0000, 0.2262) and In at (0.0000, 0.1770, 0.5000).

The density of states at the Fermi level comes out at 11.368 states/eV/f.u. The magnetic moment is 0.0006 μB/atom. The formation enthalpy at 0 K comes out at -193 meV/atom.



5.
DFT (PBE) results for a relaxed structure of Dy4Er5In.

It has space group I4mm (No. 107), with a = 10.5304 Å, b = 10.5304 Å, c = 5.7428 Å, α = 90.00°, β = 90.00° and γ = 90.00°. The asymmetric unit holds Dy at (0.0000, 0.3153, 0.0000), Er at (0.0000, 0.0000, 0.7876), Er at (0.1854, 0.1854, 0.5014) and In at (0.0000, 0.0000, 0.2706).

The density of states at the Fermi level comes out at 14.036 states/eV/f.u. The magnetic moment is 0.0000 μB/atom. The formation enthalpy at 0 K comes out at 119 meV/atom.



6.
DFT (PBE) results for a relaxed structure of Dy6Er8In.

It has space group P-3 (No. 147), with a = 9.1191 Å, b = 9.1191 Å, c = 6.6546 Å, α = 90.00°, β = 90.00° and γ = 120.00°. The asymmetric unit holds Dy at (0.0802, 0.3980, 0.3967), Er at (0.0152, 0.6875, 0.1107), Er at (0.3333, 0.6667, 0.8175) and In at (0.0000, 0.0000, 0.5000).

The density of states at the Fermi level comes out at 19.861 states/eV/f.u. The magnetic moment is 0.0000 μB/atom. The formation enthalpy at 0 K comes out at 198 meV/atom.



7.
DFT (PBE) results for a relaxed structure of Dy3Er2In7.

It has space group Cmmm (No. 65), with a = 4.8037 Å, b = 30.3894 Å, c = 4.6276 Å, α = 90.00°, β = 90.00° and γ = 90.00°. The asymmetric unit holds Dy at (0.0000, 0.0000, 0.0000), Dy at (0.0000, 0.1469, 0.0000), Er at (0.0000, 0.3403, 0.5000), In at (0.0000, 0.0770, 0.5000), In at (0.0000, 0.2255, 0.5000), In at (0.0000, 0.4220, 0.0000) and In at (0.0000, 0.5000, 0.5000).

The density of states at the Fermi level comes out at 8.450 states/eV/f.u. The magnetic moment is 0.0782 μB/atom. The formation enthalpy at 0 K comes out at -220 meV/atom.



8.
DFT (PBE) results for a relaxed structure of Dy3Er4In2.

It has space group C2/m (No. 12), with a = 12.4597 Å, b = 5.2577 Å, c = 8.3273 Å, α = 90.00°, β = 105.10° and γ = 90.00°. The asymmetric unit holds Dy at (0.0000, 0.0000, 0.0000), Dy at (0.0751, 0.5000, 0.3447), Er at (0.1221, 0.0000, 0.6577), Er at (0.1688, 0.5000, 0.9659) and In at (0.2131, 0.0000, 0.3175).

The density of states at the Fermi level comes out at 9.606 states/eV/f.u. The magnetic moment is 0.0000 μB/atom. The formation enthalpy at 0 K comes out at -198 meV/atom.



9.
DFT (PBE) results for a relaxed structure of Dy3Er12In.

It has space group P4/mmm (No. 123), with a = 4.9136 Å, b = 4.9136 Å, c = 19.9084 Å, α = 90.00°, β = 90.00° and γ = 90.00°. The asymmetric unit holds Dy at (0.0000, 0.0000, 0.0000), Dy at (0.0000, 0.0000, 0.2515), Er at (0.0000, 0.5000, 0.1266), Er at (0.0000, 0.5000, 0.3788), Er at (0.5000, 0.5000, 0.0000), Er at (0.5000, 0.5000, 0.2557), Er at (0.5000, 0.5000, 0.5000) and In at (0.0000, 0.0000, 0.5000).

The density of states at the Fermi level comes out at 18.485 states/eV/f.u. The magnetic moment is 0.0000 μB/atom. The formation enthalpy at 0 K comes out at -44 meV/atom.



10.
DFT (PBE) results for a relaxed structure of DyEr3In4.

It has space group Pmma (No. 51), with a = 10.7037 Å, b = 7.1513 Å, c = 5.4536 Å, α = 90.00°, β = 90.00° and γ = 90.00°. The asymmetric unit holds Dy at (0.0000, 0.0000, 0.0000), Er at (0.0000, 0.5000, 0.0000), Er at (0.2500, 0.0000, 0.4262), Er at (0.2500, 0.5000, 0.4233), In at (0.0000, 0.2517, 0.5000) and In at (0.2500, 0.2516, 0.9159).

The density of states at the Fermi level comes out at 4.250 states/eV/f.u. The magnetic moment is 0.0000 μB/atom. The formation enthalpy at 0 K comes out at -446 meV/atom.



Record-wise V values, in A^3/atom: 30.3 24.7 26.4 29.9 31.8 31.9 28.1 29.3 30.0 26.1
Record-wise E values, in eV per atom: -4.12 -3.59 -4.13 -4.10 -4.28 -4.26 -3.73 -4.37 -4.50 -4.10